Pm2EuTl: optimized geometry, PBE.

Lattice parameters (Å, degrees): 4.9074 5.0528 5.0528 90.00 90.00 90.00
Last column: nearest neighbours and their distance in Å.
Atoms (fractional coordinates):
Pm: 0.0000 0.5000 0.0000  4 Eu 3.52, 4 Tl 3.52, 4 Pm 3.57
Pm: 0.0000 0.0000 0.5000  4 Eu 3.52, 4 Tl 3.52, 4 Pm 3.57
Tl: 0.5000 0.0000 0.0000  8 Pm 3.52, 4 Eu 3.57
Eu: 0.5000 0.5000 0.5000  8 Pm 3.52, 4 Tl 3.57

Calculated values
E above lowest polymorph (eV/atom): 0.0000
Energy of formation (eV/f.u.): -0.68
Electronic total energy (eV/cell): -22.8